A relaxed structure of LuWClO4, computed with GGA+U.

Properties
**Total magnetization**: 0.00 μB/f.u.
**Total energy**: -7.233 eV/atom
**Volume**: 17.34 A^3/atom
**N(E_F)**: 0.000 states/eV per atom

Lattice parameters (Å, degrees): 5.947 6.598 6.938 73.18 76.64 70.39
Space group P-1 (No. 2)
Inequivalent atoms, fractional coordinates:
Lu 0.246 0.198 0.366 x2
W 0.381 0.358 0.762 x2
Cl 0.013 0.960 0.275 x2
O 0.085 0.527 0.705 x2
O 0.361 0.255 0.033 x2
O 0.417 0.470 0.319 x2
O 0.466 0.125 0.634 x2